(P)
Below is a relaxed structure of Mg4NiAu, with properties calculated at the PBE level.

Its crystal system is cubic.

The structure in CIF format:
```
data_Mg4NiAu
_chemical_formula_sum 'Mg16 Ni4 Au4'
_symmetry_space_group_name_H-M 'F -4 3 m'
_symmetry_Int_Tables_number 216
_symmetry_space_group_name_Hall 'F -4 2 3'
_cell_length_a 7.6825
_cell_length_b 7.6825
_cell_length_c 7.6825
_cell_angle_alpha 90.00
_cell_angle_beta 90.00
_cell_angle_gamma 90.00
loop_
_atom_site_label
_atom_site_type_symbol
_atom_site_fract_x
_atom_site_fract_y
_atom_site_fract_z
Mg1 Mg 0.1249 0.1249 0.1249
Ni1 Ni 0.2500 0.2500 0.7500
Au1 Au 0.0000 0.0000 0.5000
```

---

(Q)
Below is a relaxed structure of Mg4NiAu, with properties calculated at the PBE level.

Its crystal system is tetragonal.

The structure in CIF format:
```
data_Mg4NiAu
_chemical_formula_sum 'Mg4 Ni1 Au1'
_symmetry_space_group_name_H-M 'P 4/m m m'
_symmetry_Int_Tables_number 123
_symmetry_space_group_name_Hall '-P 4 2'
_cell_length_a 4.4484
_cell_length_b 4.4484
_cell_length_c 6.3293
_cell_angle_alpha 90.00
_cell_angle_beta 90.00
_cell_angle_gamma 90.00
loop_
_atom_site_label
_atom_site_type_symbol
_atom_site_fract_x
_atom_site_fract_y
_atom_site_fract_z
Mg1 Mg 0.0000 0.5000 0.2354
Ni1 Ni 0.0000 0.0000 0.0000
Au1 Au 0.5000 0.5000 0.5000
```

---

Which is most stable? The ranking, best first, is (Q), (P).

---

(P)
Below is a relaxed structure of Mg2AuO2, with properties calculated at the PBE level.

Its crystal system is tetragonal.

The structure in CIF format:
```
data_Mg2AuO2
_chemical_formula_sum 'Mg4 Au2 O4'
_symmetry_space_group_name_H-M 'I 4/m m m'
_symmetry_Int_Tables_number 139
_symmetry_space_group_name_Hall '-I 4 2'
_cell_length_a 3.9377
_cell_length_b 3.9377
_cell_length_c 10.2854
_cell_angle_alpha 90.00
_cell_angle_beta 90.00
_cell_angle_gamma 90.00
loop_
_atom_site_label
_atom_site_type_symbol
_atom_site_fract_x
_atom_site_fract_y
_atom_site_fract_z
Mg1 Mg 0.0000 0.0000 0.2125
Au1 Au 0.0000 0.0000 0.5000
O1 O 0.0000 0.5000 0.2500
```

---

(Q)
Below is a relaxed structure of Mg2AuO2, with properties calculated at the PBE level.

Its crystal system is tetragonal.

The structure in CIF format:
```
data_Mg2AuO2
_chemical_formula_sum 'Mg4 Au2 O4'
_symmetry_space_group_name_H-M 'P 4/m b m'
_symmetry_Int_Tables_number 127
_symmetry_space_group_name_Hall '-P 4 2ab'
_cell_length_a 6.6988
_cell_length_b 6.6988
_cell_length_c 2.7940
_cell_angle_alpha 90.00
_cell_angle_beta 90.00
_cell_angle_gamma 90.00
loop_
_atom_site_label
_atom_site_type_symbol
_atom_site_fract_x
_atom_site_fract_y
_atom_site_fract_z
Mg1 Mg 0.1350 0.3650 0.0000
Au1 Au 0.0000 0.0000 0.0000
O1 O 0.1363 0.6363 0.5000
```

---

Which is most stable? The ranking, best first, is (P), (Q).

---

(P)
Below is a relaxed structure of MgAu3O, with properties calculated at the PBE level.

Its crystal system is cubic.

The structure in CIF format:
```
data_MgAu3O
_chemical_formula_sum 'Mg1 Au3 O1'
_symmetry_space_group_name_H-M 'P m -3 m'
_symmetry_Int_Tables_number 221
_symmetry_space_group_name_Hall '-P 4 2 3'
_cell_length_a 4.8777
_cell_length_b 4.8777
_cell_length_c 4.8777
_cell_angle_alpha 90.00
_cell_angle_beta 90.00
_cell_angle_gamma 90.00
loop_
_atom_site_label
_atom_site_type_symbol
_atom_site_fract_x
_atom_site_fract_y
_atom_site_fract_z
Mg1 Mg 0.0000 0.0000 0.0000
Au1 Au 0.0000 0.0000 0.5000
O1 O 0.5000 0.5000 0.5000
```

---

(Q)
Below is a relaxed structure of MgAu3O, with properties calculated at the PBE level.

Its crystal system is cubic.

The structure in CIF format:
```
data_MgAu3O
_chemical_formula_sum 'Mg1 Au3 O1'
_symmetry_space_group_name_H-M 'P m -3 m'
_symmetry_Int_Tables_number 221
_symmetry_space_group_name_Hall '-P 4 2 3'
_cell_length_a 4.5354
_cell_length_b 4.5354
_cell_length_c 4.5354
_cell_angle_alpha 90.00
_cell_angle_beta 90.00
_cell_angle_gamma 90.00
loop_
_atom_site_label
_atom_site_type_symbol
_atom_site_fract_x
_atom_site_fract_y
_atom_site_fract_z
Mg1 Mg 0.0000 0.0000 0.0000
Au1 Au 0.0000 0.5000 0.5000
O1 O 0.5000 0.5000 0.5000
```

---

Which is most stable? The ranking, best first, is (Q), (P).

---

(P)
Below is a relaxed structure of Mg3AuO, with properties calculated at the PBE level.

Its crystal system is cubic.

The structure in CIF format:
```
data_Mg3AuO
_chemical_formula_sum 'Mg3 Au1 O1'
_symmetry_space_group_name_H-M 'P m -3 m'
_symmetry_Int_Tables_number 221
_symmetry_space_group_name_Hall '-P 4 2 3'
_cell_length_a 4.2485
_cell_length_b 4.2485
_cell_length_c 4.2485
_cell_angle_alpha 90.00
_cell_angle_beta 90.00
_cell_angle_gamma 90.00
loop_
_atom_site_label
_atom_site_type_symbol
_atom_site_fract_x
_atom_site_fract_y
_atom_site_fract_z
Mg1 Mg 0.0000 0.0000 0.5000
Au1 Au 0.5000 0.5000 0.5000
O1 O 0.0000 0.0000 0.0000
```

---

(Q)
Below is a relaxed structure of Mg3AuO, with properties calculated at the PBE level.

Its crystal system is cubic.

The structure in CIF format:
```
data_Mg3AuO
_chemical_formula_sum 'Mg3 Au1 O1'
_symmetry_space_group_name_H-M 'P m -3 m'
_symmetry_Int_Tables_number 221
_symmetry_space_group_name_Hall '-P 4 2 3'
_cell_length_a 5.0094
_cell_length_b 5.0094
_cell_length_c 5.0094
_cell_angle_alpha 90.00
_cell_angle_beta 90.00
_cell_angle_gamma 90.00
loop_
_atom_site_label
_atom_site_type_symbol
_atom_site_fract_x
_atom_site_fract_y
_atom_site_fract_z
Mg1 Mg 0.0000 0.0000 0.5000
Au1 Au 0.0000 0.0000 0.0000
O1 O 0.5000 0.5000 0.5000
```

---

Which is most stable? The ranking, best first, is (P), (Q).

---

(P)
Below is a relaxed structure of Mg2Os2Au, with properties calculated at the PBE level.

Its crystal system is tetragonal.

The structure in CIF format:
```
data_Mg2Os2Au
_chemical_formula_sum 'Mg4 Os4 Au2'
_symmetry_space_group_name_H-M 'P 4/m b m'
_symmetry_Int_Tables_number 127
_symmetry_space_group_name_Hall '-P 4 2ab'
_cell_length_a 6.6996
_cell_length_b 6.6996
_cell_length_c 3.5714
_cell_angle_alpha 90.00
_cell_angle_beta 90.00
_cell_angle_gamma 90.00
loop_
_atom_site_label
_atom_site_type_symbol
_atom_site_fract_x
_atom_site_fract_y
_atom_site_fract_z
Mg1 Mg 0.1361 0.3639 0.0000
Os1 Os 0.1638 0.6638 0.5000
Au1 Au 0.0000 0.0000 0.0000
```

---

(Q)
Below is a relaxed structure of Mg2Os2Au, with properties calculated at the PBE level.

Its crystal system is tetragonal.

The structure in CIF format:
```
data_Mg2Os2Au
_chemical_formula_sum 'Mg4 Os4 Au2'
_symmetry_space_group_name_H-M 'I 4/m m m'
_symmetry_Int_Tables_number 139
_symmetry_space_group_name_Hall '-I 4 2'
_cell_length_a 5.0624
_cell_length_b 5.0624
_cell_length_c 7.6752
_cell_angle_alpha 90.00
_cell_angle_beta 90.00
_cell_angle_gamma 90.00
loop_
_atom_site_label
_atom_site_type_symbol
_atom_site_fract_x
_atom_site_fract_y
_atom_site_fract_z
Mg1 Mg 0.0000 0.5000 0.2500
Os1 Os 0.0000 0.0000 0.1493
Au1 Au 0.0000 0.0000 0.5000
```

---

(R)
Below is a relaxed structure of Mg2Os2Au, with properties calculated at the PBE level.

Its crystal system is tetragonal.

The structure in CIF format:
```
data_Mg2Os2Au
_chemical_formula_sum 'Mg4 Os4 Au2'
_symmetry_space_group_name_H-M 'I 4/m m m'
_symmetry_Int_Tables_number 139
_symmetry_space_group_name_Hall '-I 4 2'
_cell_length_a 3.5231
_cell_length_b 3.5231
_cell_length_c 15.1833
_cell_angle_alpha 90.00
_cell_angle_beta 90.00
_cell_angle_gamma 90.00
loop_
_atom_site_label
_atom_site_type_symbol
_atom_site_fract_x
_atom_site_fract_y
_atom_site_fract_z
Mg1 Mg 0.0000 0.0000 0.1010
Os1 Os 0.0000 0.5000 0.2500
Au1 Au 0.0000 0.0000 0.5000
```

---

Which is most stable? The ranking, best first, is (R), (P), (Q).

---

(P)
Below is a relaxed structure of MgOsAu3, with properties calculated at the PBE level.

Its crystal system is cubic.

The structure in CIF format:
```
data_MgOsAu3
_chemical_formula_sum 'Mg1 Os1 Au3'
_symmetry_space_group_name_H-M 'P m -3 m'
_symmetry_Int_Tables_number 221
_symmetry_space_group_name_Hall '-P 4 2 3'
_cell_length_a 4.6737
_cell_length_b 4.6737
_cell_length_c 4.6737
_cell_angle_alpha 90.00
_cell_angle_beta 90.00
_cell_angle_gamma 90.00
loop_
_atom_site_label
_atom_site_type_symbol
_atom_site_fract_x
_atom_site_fract_y
_atom_site_fract_z
Mg1 Mg 0.0000 0.0000 0.0000
Os1 Os 0.5000 0.5000 0.5000
Au1 Au 0.0000 0.0000 0.5000
```

---

(Q)
Below is a relaxed structure of MgOsAu3, with properties calculated at the PBE level.

Its crystal system is cubic.

The structure in CIF format:
```
data_MgOsAu3
_chemical_formula_sum 'Mg1 Os1 Au3'
_symmetry_space_group_name_H-M 'P m -3 m'
_symmetry_Int_Tables_number 221
_symmetry_space_group_name_Hall '-P 4 2 3'
_cell_length_a 5.0524
_cell_length_b 5.0524
_cell_length_c 5.0524
_cell_angle_alpha 90.00
_cell_angle_beta 90.00
_cell_angle_gamma 90.00
loop_
_atom_site_label
_atom_site_type_symbol
_atom_site_fract_x
_atom_site_fract_y
_atom_site_fract_z
Mg1 Mg 0.0000 0.0000 0.0000
Os1 Os 0.5000 0.5000 0.5000
Au1 Au 0.0000 0.5000 0.5000
```

---

Which is most stable? The ranking, best first, is (Q), (P).

---

(P)
Below is a relaxed structure of Mg2PAu2, with properties calculated at the PBE level.

Its crystal system is tetragonal.

The structure in CIF format:
```
data_Mg2PAu2
_chemical_formula_sum 'Mg4 P2 Au4'
_symmetry_space_group_name_H-M 'P 4/m b m'
_symmetry_Int_Tables_number 127
_symmetry_space_group_name_Hall '-P 4 2ab'
_cell_length_a 7.4573
_cell_length_b 7.4573
_cell_length_c 3.4411
_cell_angle_alpha 90.00
_cell_angle_beta 90.00
_cell_angle_gamma 90.00
loop_
_atom_site_label
_atom_site_type_symbol
_atom_site_fract_x
_atom_site_fract_y
_atom_site_fract_z
Mg1 Mg 0.1633 0.3367 0.0000
P1 P 0.0000 0.0000 0.0000
Au1 Au 0.1341 0.6341 0.5000
```

---

(Q)
Below is a relaxed structure of Mg2PAu2, with properties calculated at the PBE level.

Its crystal system is tetragonal.

The structure in CIF format:
```
data_Mg2PAu2
_chemical_formula_sum 'Mg4 P2 Au4'
_symmetry_space_group_name_H-M 'P 4/m b m'
_symmetry_Int_Tables_number 127
_symmetry_space_group_name_Hall '-P 4 2ab'
_cell_length_a 6.9194
_cell_length_b 6.9194
_cell_length_c 3.9303
_cell_angle_alpha 90.00
_cell_angle_beta 90.00
_cell_angle_gamma 90.00
loop_
_atom_site_label
_atom_site_type_symbol
_atom_site_fract_x
_atom_site_fract_y
_atom_site_fract_z
Mg1 Mg 0.1622 0.3378 0.0000
P1 P 0.0000 0.0000 0.5000
Au1 Au 0.1437 0.6437 0.5000
```

---

Which is most stable? The ranking, best first, is (Q), (P).

---

(P)
Below is a relaxed structure of MgPAuS2, with properties calculated at the PBE level.

Its crystal system is tetragonal.

The structure in CIF format:
```
data_MgPAuS2
_chemical_formula_sum 'Mg1 P1 Au1 S2'
_symmetry_space_group_name_H-M 'P 4/m m m'
_symmetry_Int_Tables_number 123
_symmetry_space_group_name_Hall '-P 4 2'
_cell_length_a 5.0292
_cell_length_b 5.0292
_cell_length_c 4.5898
_cell_angle_alpha 90.00
_cell_angle_beta 90.00
_cell_angle_gamma 90.00
loop_
_atom_site_label
_atom_site_type_symbol
_atom_site_fract_x
_atom_site_fract_y
_atom_site_fract_z
Mg1 Mg 0.0000 0.0000 0.0000
P1 P 0.5000 0.5000 0.0000
Au1 Au 0.5000 0.5000 0.5000
S1 S 0.0000 0.5000 0.5000
```

---

(Q)
Below is a relaxed structure of MgPAuS2, with properties calculated at the PBE level.

Its crystal system is tetragonal.

The structure in CIF format:
```
data_MgPAuS2
_chemical_formula_sum 'Mg1 P1 Au1 S2'
_symmetry_space_group_name_H-M 'P 4/m m m'
_symmetry_Int_Tables_number 123
_symmetry_space_group_name_Hall '-P 4 2'
_cell_length_a 4.7115
_cell_length_b 4.7115
_cell_length_c 4.8824
_cell_angle_alpha 90.00
_cell_angle_beta 90.00
_cell_angle_gamma 90.00
loop_
_atom_site_label
_atom_site_type_symbol
_atom_site_fract_x
_atom_site_fract_y
_atom_site_fract_z
Mg1 Mg 0.0000 0.0000 0.0000
P1 P 0.0000 0.0000 0.5000
Au1 Au 0.5000 0.5000 0.5000
S1 S 0.0000 0.5000 0.0000
```

---

Which is most stable? The ranking, best first, is (P), (Q).